# Sr8Ca3NdTl2Cu8Pb2O28

A PBEsol-optimized structure of Sr8Ca3NdTl2Cu8Pb2O28 (meta-GGA SCAN, Alexandria).

Cell lengths 7.5135, 7.5135, 13.1943 Å; angles 106.54, 106.54, 90.01 degrees
Element x y z (fractional)
Sr 0.1425 0.1425 0.2850
Sr 0.1426 0.6426 0.2852
Sr 0.6426 0.1426 0.2852
Sr 0.6446 0.6446 0.2893
Sr 0.3554 0.3554 0.7107
Sr 0.3574 0.8574 0.7148
Sr 0.8574 0.3574 0.7148
Sr 0.8575 0.8575 0.7150
Ca 0.0000 0.5000 0.0000
Ca 0.5000 0.0000 0.0000
Ca 0.0000 0.0000 0.0000
Nd 0.5000 0.5000 0.0000
Tl 0.5000 0.5000 0.5000
Tl 0.0000 0.0000 0.5000
Cu 0.8232 0.3202 0.1435
Cu 0.8212 0.8212 0.1395
Cu 0.3183 0.3183 0.1395
Cu 0.3202 0.8232 0.1435
Cu 0.1768 0.6798 0.8565
Cu 0.1788 0.1788 0.8605
Cu 0.6817 0.6817 0.8605
Cu 0.6798 0.1768 0.8565
Pb 0.5000 0.0000 0.5000
Pb 0.0000 0.5000 0.5000
O 0.9107 0.4119 0.3226
O 0.9133 0.9133 0.3286
O 0.4153 0.4153 0.3286
O 0.4119 0.9107 0.3226
O 0.0893 0.5881 0.6774
O 0.0867 0.0867 0.6714
O 0.5847 0.5847 0.6714
O 0.5881 0.0893 0.6774
O 0.2495 0.2495 0.4990
O 0.2500 0.7500 0.5000
O 0.7500 0.2500 0.5000
O 0.7505 0.7505 0.5010
O 0.8137 0.0642 0.1291
O 0.8135 0.5647 0.1286
O 0.3153 0.0649 0.1291
O 0.3151 0.5639 0.1286
O 0.0649 0.3153 0.1291
O 0.0642 0.8137 0.1291
O 0.5639 0.3151 0.1286
O 0.5647 0.8135 0.1286
O 0.1865 0.4353 0.8714
O 0.1863 0.9358 0.8709
O 0.6849 0.4361 0.8714
O 0.6847 0.9351 0.8709
O 0.4361 0.6849 0.8714
O 0.4353 0.1865 0.8714
O 0.9351 0.6847 0.8709
O 0.9358 0.1863 0.8709

Values from the calculation:
Raw formation energy   -1.965 eV per atom
Volume   682 Å³ per cell
Total moment   0.000 μB per atom



# CaCuNi2

A PBEsol-optimized structure of CaCuNi2 (meta-GGA SCAN, Alexandria).

Cell lengths 4.0062, 4.0062, 5.2703 Å; angles 67.66, 67.66, 60.00 degrees
Element x y z (fractional)
Ni 0.9906 0.9906 0.0283
Ni 0.3091 0.3091 0.0728
Ca 0.5003 0.5003 0.4990
Cu 0.6941 0.6941 0.9177

Values from the calculation:
Energy of formation   -0.07 eV/atom
Volume   66 Å³ per cell
Total moment   0.153 μB per atom



# Ca2CuNi

A PBEsol-optimized structure of Ca2CuNi (meta-GGA SCAN, Alexandria).

Cell lengths 3.4172, 3.4172, 6.8694 Å; angles 90.00, 90.00, 90.00 degrees
Element x y z (fractional)
Ca 0.0000 0.0000 0.2381
Ca 0.0000 0.0000 0.7619
Cu 0.5000 0.5000 0.5000
Ni 0.5000 0.5000 0.0000

Values from the calculation:
Energy of formation   0.05 eV/atom
Volume   80 Å³ per cell
Total moment   0.000 μB per atom



no.,calculated total energy (eV/atom)
1,-18.1784
2,-14.3697
3,-12.6269